# Na3CoF6 | Alexandria | PBE with a Hubbard U | optimized geometry
data_Na3CoF6
_chemical_formula_sum 'Na3 Co1 F6'
_cell_length_a 5.579
_cell_length_b 5.579
_cell_length_c 5.578
_cell_angle_alpha 118.79
_cell_angle_beta 118.79
_cell_angle_gamma 60.98
_symmetry_space_group_name_H-M 'P 1'
_symmetry_Int_Tables_number 1
_symmetry_space_group_name_Hall 'P 1'
loop_
_atom_site_label
_atom_site_type_symbol
_atom_site_fract_x
_atom_site_fract_y
_atom_site_fract_z
Na1 Na 0.000 0.000 0.000
Na2 Na 0.247 0.247 0.719
Na3 Na 0.753 0.753 0.281
Co1 Co 0.500 0.500 0.500
F1 F 0.202 0.666 0.655
F2 F 0.283 0.283 0.161
F3 F 0.334 0.798 0.345
F4 F 0.666 0.202 0.655
F5 F 0.717 0.717 0.839
F6 F 0.798 0.334 0.345
# polymorph energy (0 for the lowest one) = 1.245 kcal/mol of atoms
# symmetry = No. 12